1.
Density functional theory data (PBE) for crystalline Fe2Cu2Pt3 at its relaxed geometry.

The structure in CIF format:
```
data_Fe2Cu2Pt3
_chemical_formula_sum 'Fe4 Cu4 Pt6'
_cell_length_a 3.924
_cell_length_b 18.096
_cell_length_c 2.719
_cell_angle_alpha 90.00
_cell_angle_beta 90.00
_cell_angle_gamma 90.00
_symmetry_space_group_name_H-M 'C m m m'
_symmetry_Int_Tables_number 65
_symmetry_space_group_name_Hall '-C 2 2'
loop_
_atom_site_label
_atom_site_type_symbol
_atom_site_fract_x
_atom_site_fract_y
_atom_site_fract_z
Fe1 Fe 0.000 0.072 0.000
Cu1 Cu 0.000 0.213 0.000
Pt1 Pt 0.000 0.351 0.500
Pt2 Pt 0.000 0.500 0.500
```

- Electronic total energy: -6.316 eV per atom
- Total moment: 13.7 μB/cell
- DFT formation energy: -0.1390 eV per atom
- Theoretical density: 14.2 g/cm3

---

2.
Density functional theory data (PBE) for crystalline Fe2CuSbPt at its relaxed geometry.

The structure in CIF format:
```
data_Fe2CuSbPt
_chemical_formula_sum 'Fe2 Cu1 Sb1 Pt1'
_cell_length_a 4.747
_cell_length_b 4.747
_cell_length_c 4.623
_cell_angle_alpha 90.00
_cell_angle_beta 90.00
_cell_angle_gamma 90.00
_symmetry_space_group_name_H-M 'P 4/m m m'
_symmetry_Int_Tables_number 123
_symmetry_space_group_name_Hall '-P 4 2'
loop_
_atom_site_label
_atom_site_type_symbol
_atom_site_fract_x
_atom_site_fract_y
_atom_site_fract_z
Fe1 Fe 0.000 0.500 0.000
Cu1 Cu 0.000 0.000 0.500
Sb1 Sb 0.000 0.000 0.000
Pt1 Pt 0.500 0.500 0.500
```

- Electronic total energy: -4.968 eV per atom
- Total moment: 6.1 μB/cell
- Theoretical density: 7.8 g/cm3